BeOs2Rh: optimized geometry, GGA-PBE.

abc: 8.7564 2.7027 4.5936
angles: 90.00 99.94 90.00
Space group Cm (No. 8)
Asymmetric unit:
Be1 0.0000 0.0000 0.0000 x2
Os1 0.2466 0.0000 0.7016 x2
Os2 0.4983 0.0000 0.5108 x2
Rh1 0.2495 0.5000 0.1836 x2

Computed properties:
Its volume is 13.38 A^3/atom. The density of states at the Fermi level comes out at 3.2 states/eV/f.u. Its total energy is -66.49 eV/cell. As for the formation enthalpy at 0 K: 72.6 meV per atom.

---

BaAl3Cl12: optimized geometry, GGA-PBE.

abc: 11.3577 11.3577 34.2811
angles: 90.00 90.00 120.00
Space group R3c (No. 161, hexagonal axes)
Asymmetric unit:
Ba1 0.0000 0.0000 0.0000 x6
Al1 0.0071 0.3868 0.2765 x18
Cl1 0.0002 0.4853 0.3299 x18
Cl2 0.0415 0.5024 0.9496 x18
Cl3 0.0856 0.5368 0.2302 x18
Cl4 0.0963 0.2268 0.9307 x18

Computed properties:
For the uncorrected formation energy, the calculation gives -1590 meV/atom. Its volume is 39.89 A^3/atom. The density of states at the Fermi level comes out at 22.6 states/eV/f.u. Its total energy is -364.48 eV/cell.

---

Dy6Bi2Pt: optimized geometry, GGA-PBE.

abc: 6.4742 8.0138 12.0211
angles: 90.00 120.74 90.00
Space group P2_1/c (No. 14)
Asymmetric unit:
Dy1 0.0932 0.1937 0.4598 x4
Dy2 0.3234 0.6731 0.4581 x4
Dy3 0.3797 0.0252 0.2449 x4
Bi1 0.1457 0.1144 0.7451 x4
Pt1 0.5000 0.0000 0.5000 x2

Computed properties:
Its volume is 29.78 A^3/atom. The density of states at the Fermi level comes out at 9.9 states/eV/f.u. Its total energy is -93.90 eV/cell. As for the formation enthalpy at 0 K: -614.7 meV per atom.

---

HfTa2H: optimized geometry, GGA-PBE.

abc: 8.1102 8.1102 8.1102
angles: 90.00 90.00 90.00
Space group Fd-3m (No. 227, origin choice 2)
Asymmetric unit:
Hf1 0.1250 0.1250 0.1250 x8
Ta1 0.0000 0.0000 0.5000 x16
H1 0.1250 0.1250 0.6250 x8

Computed properties:
As for the relative energy among the computed polymorphs: 146 meV/atom. Its volume is 16.67 A^3/atom. The density of states at the Fermi level comes out at 7.4 states/eV/f.u. Its total energy is -291.92 eV/cell.

---

CsY2Be: optimized geometry, GGA-PBE.

abc: 8.3171 8.3171 11.6191
angles: 90.00 90.00 90.00
Space group I-42d (No. 122)
Asymmetric unit:
Cs1 0.0000 0.0000 0.0000 x4
Y1 0.0152 0.2500 0.6250 x8
Be1 0.0000 0.0000 0.5000 x4

Computed properties:
Its volume is 50.23 A^3/atom. The density of states at the Fermi level comes out at 3.7 states/eV/f.u. Its total energy is -55.76 eV/cell. As for the formation enthalpy at 0 K: 891.9 meV per atom.

---

Pu2ThHg6: optimized geometry, GGA-PBE.

abc: 8.8658 8.8658 9.7925
angles: 90.00 90.00 120.00
Space group R-3m (No. 166, hexagonal axes)
Asymmetric unit:
Pu1 0.0000 0.0000 0.1642 x6
Th1 0.0000 0.0000 0.5000 x3
Hg1 0.0000 0.3328 0.0000 x18

Computed properties:
Its volume is 24.69 A^3/atom. The density of states at the Fermi level comes out at 20.7 states/eV/f.u. Its total energy is -119.14 eV/cell. As for the formation enthalpy at 0 K: -202.1 meV per atom.

---

Sr2Zn12Pt7: optimized geometry, GGA-PBE.

abc: 10.0384 10.0384 4.2312
angles: 90.00 90.00 120.00
Space group P-6 (No. 174)
Asymmetric unit:
Sr1 0.0000 0.0000 0.0000 x1
Sr2 0.3333 0.6667 0.5000 x1
Zn1 0.0151 0.7302 0.5000 x3
Zn2 0.1509 0.3931 0.0000 x3
Zn3 0.3785 0.1657 0.0000 x3
Zn4 0.5550 0.1404 0.5000 x3
Pt1 0.0227 0.5690 0.0000 x3
Pt2 0.2507 0.0080 0.5000 x3
Pt3 0.6667 0.3333 0.0000 x1

Computed properties:
Its volume is 17.58 A^3/atom. The density of states at the Fermi level comes out at 7.2 states/eV/f.u. Its total energy is -72.31 eV/cell. As for the formation enthalpy at 0 K: -541.8 meV per atom.

---

RbMnAsBr2: optimized geometry, GGA-PBE.

abc: 5.6028 5.6028 4.7702
angles: 90.00 90.00 90.00
Space group P4/mmm (No. 123)
Asymmetric unit:
Rb1 0.0000 0.0000 0.0000 x1
Mn1 0.5000 0.5000 0.5000 x1
As1 0.5000 0.5000 0.0000 x1
Br1 0.0000 0.5000 0.5000 x2

Computed properties:
For the uncorrected formation energy, the calculation gives -604 meV/atom. Its volume is 29.95 A^3/atom. The density of states at the Fermi level comes out at 0.8 states/eV/f.u. Its total energy is -21.15 eV/cell.